The following is a meta-GGA SCAN calculation of a PBEsol-optimized structure of Rb2ReAuN, from Alexandria.

Values from the calculation:
Crystal system: tetragonal
Density of states at the Fermi level, states/eV per atom: 0.743
Space group: P4/mmm (123)
Raw formation energy, eV per atom: 0.528
Total energy, eV/atom: -37.677

Cell lengths 6.592, 6.592, 3.761 Å; angles 90.00, 90.00, 90.00 degrees
Positions (direct):
Rb (0.000, 0.500, 0.000)
Rb (0.500, 0.000, 0.000)
Re (0.000, 0.000, 0.000)
Au (0.500, 0.500, 0.500)
N (0.000, 0.000, 0.500)

=====

The following is a meta-GGA SCAN calculation of a PBEsol-optimized structure of Mg2ZnPb, from Alexandria.

Values from the calculation:
Crystal system: trigonal
ΔH_f (0 K), kJ/mol of formula units: -14
Density of states at the Fermi level, states/eV per atom: 0.371
Space group: R-3m (166)
Total energy, eV/atom: -24.847

Cell lengths 9.399, 9.399, 9.399 Å; angles 20.42, 20.42, 20.42 degrees
Positions (direct):
Mg (0.241, 0.241, 0.241)
Mg (0.759, 0.759, 0.759)
Zn (0.500, 0.500, 0.500)
Pb (0.000, 0.000, 0.000)

=====

The following is a meta-GGA SCAN calculation of a PBEsol-optimized structure of BaScFe2, from Alexandria.

Values from the calculation:
Crystal system: tetragonal
ΔH_f (0 K), kJ/mol of formula units: 270
Excess energy over the best structure of this formula in the dataset, meV per atom: 347
Density of states at the Fermi level, states/eV per atom: 0.774
Space group: P4/mmm (123)
Total energy, eV/atom: -21.812

Cell lengths 4.849, 4.849, 3.340 Å; angles 90.00, 90.00, 90.00 degrees
Positions (direct):
Ba (0.000, 0.000, 0.000)
Sc (0.500, 0.500, 0.000)
Fe (0.000, 0.500, 0.500)
Fe (0.500, 0.000, 0.500)

=====

The following is a meta-GGA SCAN calculation of a PBEsol-optimized structure of ZrCdSi2, from Alexandria.

Values from the calculation:
Crystal system: tetragonal
Density of states at the Fermi level, states/eV per atom: 0.539
Space group: P4/mmm (123)
Raw formation energy, eV per atom: 0.122
Total energy, eV/atom: -20.164

Cell lengths 2.883, 2.883, 8.665 Å; angles 90.00, 90.00, 90.00 degrees
Positions (direct):
Zr (0.000, 0.000, 0.000)
Cd (0.000, 0.000, 0.500)
Si (0.500, 0.500, 0.233)
Si (0.500, 0.500, 0.767)

=====

The following is a meta-GGA SCAN calculation of a PBEsol-optimized structure of KCaY2, from Alexandria.

Values from the calculation:
Crystal system: monoclinic
ΔH_f (0 K), kJ/mol of formula units: 74
Density of states at the Fermi level, states/eV per atom: 1.026
Space group: Pm (6)
Total energy, eV/atom: -18.227

Cell lengths 3.677, 3.677, 11.539 Å; angles 90.00, 90.02, 90.00 degrees
Positions (direct):
K (0.000, 0.000, 0.000)
Ca (0.503, 0.500, 0.698)
Y (0.003, 0.000, 0.476)
Y (0.503, 0.500, 0.282)

=====

The following is a meta-GGA SCAN calculation of a PBEsol-optimized structure of BaYZn2, from Alexandria.

Values from the calculation:
Crystal system: cubic
ΔH_f (0 K), kJ/mol of formula units: -49
Excess energy over the best structure of this formula in the dataset, meV per atom: 168
Density of states at the Fermi level, states/eV per atom: 0.578
Space group: Fm-3m (225)
Total energy, eV/atom: -23.732

Cell lengths 5.306, 5.306, 5.306 Å; angles 60.00, 60.00, 60.00 degrees
Positions (direct):
Ba (0.000, 0.000, 0.000)
Y (0.500, 0.500, 0.500)
Zn (0.250, 0.250, 0.250)
Zn (0.750, 0.750, 0.750)

=====

The following is a meta-GGA SCAN calculation of a PBEsol-optimized structure of LaMnRu, from Alexandria.

Values from the calculation:
Crystal system: tetragonal
ΔH_f (0 K), kJ/mol of formula units: 46
Density of states at the Fermi level, states/eV per atom: 1.191
Space group: I4mm (107)
Total energy, eV/atom: -31.904

Cell lengths 6.170, 6.170, 6.170 Å; angles 151.65, 151.65, 40.52 degrees
Positions (direct):
La (0.000, 0.000, 0.000)
Mn (0.699, 0.699, 0.000)
Ru (0.296, 0.296, 0.000)

=====

The following is a meta-GGA SCAN calculation of a PBEsol-optimized structure of RbSb2Pb, from Alexandria.

Values from the calculation:
Crystal system: tetragonal
Density of states at the Fermi level, states/eV per atom: 0.711
Space group: I-42d (122)
Raw formation energy, eV per atom: -0.031
Total energy, eV/atom: -42.792

Cell lengths 7.233, 7.233, 7.233 Å; angles 102.38, 102.38, 124.82 degrees
Positions (direct):
Rb (0.000, 0.000, 0.000)
Rb (0.750, 0.250, 0.500)
Sb (0.167, 0.625, 0.042)
Sb (0.375, 0.417, 0.542)
Sb (0.583, 0.125, 0.958)
Sb (0.875, 0.833, 0.458)
Pb (0.250, 0.750, 0.500)
Pb (0.500, 0.500, 0.000)

=====

The following is a meta-GGA SCAN calculation of a PBEsol-optimized structure of Sr2ZnRh, from Alexandria.

Values from the calculation:
Crystal system: orthorhombic
ΔH_f (0 K), kJ/mol of formula units: -135
Density of states at the Fermi level, states/eV per atom: 0.512
Space group: Amm2 (38)
Total energy, eV/atom: -23.310

Cell lengths 4.317, 6.057, 6.057 Å; angles 42.92, 90.00, 90.00 degrees
Positions (direct):
Sr (0.000, 0.000, 0.000)
Sr (0.500, 0.281, 0.281)
Zn (0.000, 0.698, 0.698)
Rh (0.500, 0.587, 0.587)

=====

The following is a meta-GGA SCAN calculation of a PBEsol-optimized structure of Ga2BiTe, from Alexandria.

Values from the calculation:
Crystal system: cubic
Density of states at the Fermi level, states/eV per atom: 0.527
Space group: Fm-3m (225)
Raw formation energy, eV per atom: 0.212
Total energy, eV/atom: -36.918

Cell lengths 5.137, 5.137, 5.137 Å; angles 60.00, 60.00, 60.00 degrees
Positions (direct):
Ga (0.250, 0.250, 0.250)
Ga (0.750, 0.750, 0.750)
Bi (0.000, 0.000, 0.000)
Te (0.500, 0.500, 0.500)

=====

The following is a meta-GGA SCAN calculation of a PBEsol-optimized structure of LaScIn2, from Alexandria.

Values from the calculation:
Crystal system: tetragonal
ΔH_f (0 K), kJ/mol of formula units: -209
Density of states at the Fermi level, states/eV per atom: 0.623
Space group: P4/mmm (123)
Total energy, eV/atom: -31.569

Cell lengths 4.764, 4.764, 4.507 Å; angles 90.00, 90.00, 90.00 degrees
Positions (direct):
La (0.000, 0.000, 0.000)
Sc (0.500, 0.500, 0.000)
In (0.000, 0.500, 0.500)
In (0.500, 0.000, 0.500)

=====

The following is a meta-GGA SCAN calculation of a PBEsol-optimized structure of Mg3Si4Ag2O14, from Alexandria.

Values from the calculation:
Crystal system: monoclinic
Space group: C2/c (15)
Raw formation energy, eV per atom: -2.349
Total energy, eV/atom: -11.260

Cell lengths 9.502, 9.502, 10.167 Å; angles 121.37, 121.37, 47.67 degrees
Positions (direct):
Mg (0.108, 0.892, 0.750)
Mg (0.222, 0.444, 0.627)
Mg (0.444, 0.222, 0.127)
Mg (0.556, 0.778, 0.873)
Mg (0.778, 0.556, 0.373)
Mg (0.892, 0.108, 0.250)
Si (0.009, 0.228, 0.109)
Si (0.072, 0.552, 0.299)
Si (0.228, 0.009, 0.609)
Si (0.448, 0.928, 0.201)
Si (0.552, 0.072, 0.799)
Si (0.772, 0.991, 0.391)
Si (0.928, 0.448, 0.701)
Si (0.991, 0.772, 0.891)
Ag (0.276, 0.724, 0.250)
Ag (0.500, 0.500, 0.000)
Ag (0.500, 0.500, 0.500)
Ag (0.724, 0.276, 0.750)
O (0.009, 0.412, 0.130)
O (0.027, 0.874, 0.084)
O (0.040, 0.554, 0.441)
O (0.074, 0.220, 0.712)
O (0.126, 0.973, 0.416)
O (0.150, 0.696, 0.810)
O (0.220, 0.074, 0.212)
O (0.297, 0.453, 0.301)
O (0.304, 0.850, 0.690)
O (0.393, 0.468, 0.095)
O (0.412, 0.009, 0.630)
O (0.446, 0.960, 0.059)
O (0.453, 0.297, 0.801)
O (0.468, 0.393, 0.595)
O (0.532, 0.607, 0.405)
O (0.547, 0.703, 0.199)
O (0.554, 0.040, 0.941)
O (0.588, 0.991, 0.370)
O (0.607, 0.532, 0.905)
O (0.696, 0.150, 0.310)
O (0.703, 0.547, 0.699)
O (0.780, 0.926, 0.788)
O (0.850, 0.304, 0.190)
O (0.874, 0.027, 0.584)
O (0.926, 0.780, 0.288)
O (0.960, 0.446, 0.559)
O (0.973, 0.126, 0.916)
O (0.991, 0.588, 0.870)